Compound: Ac2PmTm
Source: Alexandria
Functional: PBE-GGA
Structure: optimized geometry

```
data_Ac2PmTm
_cell_length_a 5.418
_cell_length_b 5.418
_cell_length_c 5.177
_cell_angle_alpha 90.00
_cell_angle_beta 90.00
_cell_angle_gamma 90.00
_symmetry_space_group_name_H-M 'P 4/m m m'
_symmetry_Int_Tables_number 123
_symmetry_space_group_name_Hall '-P 4 2'
loop_
_atom_site_label
_atom_site_type_symbol
_atom_site_fract_x
_atom_site_fract_y
_atom_site_fract_z
Ac1 Ac 0.000 0.500 0.000
Pm1 Pm 0.000 0.000 0.500
Tm1 Tm 0.500 0.500 0.500
```

Energy above the lowest structure with this stoichiometry = 0.000 eV/atom
Calculated total energy = -17.3 eV per formula unit
Formation energy from the elements = 45 meV/atom
Crystal system = tetragonal

Compound: Y2VSiGe
Source: Alexandria
Functional: PBE-GGA
Structure: optimized geometry

```
data_Y2VSiGe
_cell_length_a 5.147
_cell_length_b 5.147
_cell_length_c 4.683
_cell_angle_alpha 90.00
_cell_angle_beta 90.00
_cell_angle_gamma 90.00
_symmetry_space_group_name_H-M 'P 4/m m m'
_symmetry_Int_Tables_number 123
_symmetry_space_group_name_Hall '-P 4 2'
loop_
_atom_site_label
_atom_site_type_symbol
_atom_site_fract_x
_atom_site_fract_y
_atom_site_fract_z
Y1 Y 0.000 0.500 0.000
V1 V 0.000 0.000 0.000
Si1 Si 0.500 0.500 0.500
Ge1 Ge 0.000 0.000 0.500
```

Calculated total energy = -29.9 eV per formula unit
Crystal system = tetragonal
Energy relative to the elements, uncorrected = 0.430 eV per atom

Compound: Mn3AgPb
Source: Alexandria
Functional: PBE-GGA
Structure: optimized geometry

```
data_Mn3AgPb
_cell_length_a 4.925
_cell_length_b 4.925
_cell_length_c 4.925
_cell_angle_alpha 90.00
_cell_angle_beta 90.00
_cell_angle_gamma 90.00
_symmetry_space_group_name_H-M 'P m -3 m'
_symmetry_Int_Tables_number 221
_symmetry_space_group_name_Hall '-P 4 2 3'
loop_
_atom_site_label
_atom_site_type_symbol
_atom_site_fract_x
_atom_site_fract_y
_atom_site_fract_z
Mn1 Mn 0.000 0.000 0.500
Ag1 Ag 0.000 0.000 0.000
Pb1 Pb 0.500 0.500 0.500
```

Energy above the lowest structure with this stoichiometry = 0.000 eV/atom
Calculated total energy = -29.2 eV per formula unit
Formation energy from the elements = 972 meV/atom
Crystal system = cubic

Compound: Zn2InB2O6
Source: Alexandria
Functional: PBE-GGA
Structure: optimized geometry

```
data_Zn2InB2O6
_cell_length_a 5.0946
_cell_length_b 5.0946
_cell_length_c 6.2466
_cell_angle_alpha 90.00
_cell_angle_beta 90.00
_cell_angle_gamma 120.00
_symmetry_space_group_name_H-M 'P -3'
_symmetry_Int_Tables_number 147
loop_
_symmetry_equiv_pos_as_xyz
'x,y,z'
'-x,-y,-z'
'-y,x-y,z'
'y,-x+y,-z'
'-x+y,-x,z'
'x-y,x,-z'
loop_
_atom_site_label
_atom_site_type_symbol
_atom_site_fract_x
_atom_site_fract_y
_atom_site_fract_z
Zn1 Zn 0.3333 0.6667 0.2888
In1 In 0.0000 0.0000 0.0000
B1 B 0.3333 0.6667 0.7654
O1 O 0.0662 0.6783 0.7684
```

Calculated total energy = -67.2 eV per formula unit
Crystal system = trigonal
Energy relative to the elements, uncorrected = -1.709 eV per atom

Compound: La5ScIn2
Source: Alexandria
Functional: PBE-GGA
Structure: optimized geometry

```
data_La5ScIn2
_cell_length_a 8.970
_cell_length_b 14.893
_cell_length_c 3.673
_cell_angle_alpha 90.00
_cell_angle_beta 90.00
_cell_angle_gamma 90.00
_symmetry_space_group_name_H-M 'P b a m'
_symmetry_Int_Tables_number 55
loop_
_symmetry_equiv_pos_as_xyz
'x,y,z'
'-x,-y,-z'
'-x,-y,z'
'x,y,-z'
'x+1/2,-y+1/2,-z'
'-x+1/2,y+1/2,z'
'-x+1/2,y+1/2,-z'
'x+1/2,-y+1/2,z'
loop_
_atom_site_label
_atom_site_type_symbol
_atom_site_fract_x
_atom_site_fract_y
_atom_site_fract_z
La1 La 0.000 0.000 0.000
La2 La 0.018 0.234 0.000
La3 La 0.223 0.371 0.500
Sc1 Sc 0.000 0.500 0.000
In1 In 0.211 0.616 0.500
```

Calculated total energy = -38.0 eV per formula unit
Formation energy from the elements = -190 meV/atom
Crystal system = orthorhombic

Compound: La4SmDy2Tm2
Source: Alexandria
Functional: PBE-GGA
Structure: optimized geometry

```
data_La4SmDy2Tm2
_cell_length_a 18.823
_cell_length_b 3.646
_cell_length_c 8.878
_cell_angle_alpha 90.00
_cell_angle_beta 90.39
_cell_angle_gamma 90.00
_symmetry_space_group_name_H-M 'C 1 2/m 1'
_symmetry_Int_Tables_number 12
loop_
_symmetry_equiv_pos_as_xyz
'x,y,z'
'-x,-y,-z'
'-x,y,-z'
'x,-y,z'
'x+1/2,y+1/2,z'
'-x+1/2,-y+1/2,-z'
'-x+1/2,y+1/2,-z'
'x+1/2,-y+1/2,z'
loop_
_atom_site_label
_atom_site_type_symbol
_atom_site_fract_x
_atom_site_fract_y
_atom_site_fract_z
La1 La 0.056 0.000 0.170
La2 La 0.224 0.500 0.173
Sm1 Sm 0.000 0.500 0.500
Dy1 Dy 0.111 0.500 0.828
Tm1 Tm 0.167 0.000 0.503
```

Calculated total energy = -42.3 eV per formula unit
Formation energy from the elements = 28 meV/atom
Crystal system = monoclinic

Compound: TlZnPb2
Source: Alexandria
Functional: PBE-GGA
Structure: optimized geometry

```
data_TlZnPb2
_cell_length_a 3.645
_cell_length_b 5.622
_cell_length_c 10.788
_cell_angle_alpha 90.00
_cell_angle_beta 90.00
_cell_angle_gamma 90.00
_symmetry_space_group_name_H-M 'I m m 2'
_symmetry_Int_Tables_number 44
loop_
_symmetry_equiv_pos_as_xyz
'x,y,z'
'-x,-y,z'
'-x,y,z'
'x,-y,z'
'x+1/2,y+1/2,z+1/2'
'-x+1/2,-y+1/2,z+1/2'
'-x+1/2,y+1/2,z+1/2'
'x+1/2,-y+1/2,z+1/2'
loop_
_atom_site_label
_atom_site_type_symbol
_atom_site_fract_x
_atom_site_fract_y
_atom_site_fract_z
Tl1 Tl 0.000 0.000 0.000
Zn1 Zn 0.000 0.500 0.718
Pb1 Pb 0.000 0.000 0.439
Pb2 Pb 0.000 0.500 0.222
```

Calculated total energy = -10.6 eV per formula unit
Formation energy from the elements = 108 meV/atom
Crystal system = orthorhombic

Compound: RbRuBr6
Source: Alexandria
Functional: PBE-GGA
Structure: optimized geometry

```
data_RbRuBr6
_cell_length_a 11.346
_cell_length_b 8.430
_cell_length_c 12.360
_cell_angle_alpha 90.00
_cell_angle_beta 99.24
_cell_angle_gamma 90.00
_symmetry_space_group_name_H-M 'C 1 2/c 1'
_symmetry_Int_Tables_number 15
loop_
_symmetry_equiv_pos_as_xyz
'x,y,z'
'-x,-y,-z'
'-x,y,-z+1/2'
'x,-y,z+1/2'
'x+1/2,y+1/2,z'
'-x+1/2,-y+1/2,-z'
'-x+1/2,y+1/2,-z+1/2'
'x+1/2,-y+1/2,z+1/2'
loop_
_atom_site_label
_atom_site_type_symbol
_atom_site_fract_x
_atom_site_fract_y
_atom_site_fract_z
Rb1 Rb 0.000 0.026 0.250
Ru1 Ru 0.250 0.250 0.000
Br1 Br 0.047 0.333 0.914
Br2 Br 0.176 0.025 0.524
Br3 Br 0.204 0.329 0.184
```

Energy above the lowest structure with this stoichiometry = 0.000 eV/atom
Calculated total energy = -24.8 eV per formula unit
Crystal system = monoclinic
Energy relative to the elements, uncorrected = -0.570 eV per atom

Compound: Sm2Cd2InPd5
Source: Alexandria
Functional: PBE-GGA
Structure: optimized geometry

```
data_Sm2Cd2InPd5
_cell_length_a 10.398
_cell_length_b 10.398
_cell_length_c 3.777
_cell_angle_alpha 90.00
_cell_angle_beta 90.00
_cell_angle_gamma 90.00
_symmetry_space_group_name_H-M 'P 4/m b m'
_symmetry_Int_Tables_number 127
_symmetry_space_group_name_Hall '-P 4 2ab'
loop_
_atom_site_label
_atom_site_type_symbol
_atom_site_fract_x
_atom_site_fract_y
_atom_site_fract_z
Sm1 Sm 0.168 0.332 0.000
Cd1 Cd 0.131 0.631 0.000
In1 In 0.000 0.000 0.000
Pd1 Pd 0.000 0.500 0.500
Pd2 Pd 0.037 0.800 0.500
```

Calculated total energy = -45.1 eV per formula unit
Formation energy from the elements = -518 meV/atom
Crystal system = tetragonal

Compound: Sr2VAu
Source: Alexandria
Functional: PBE-GGA
Structure: optimized geometry

```
data_Sr2VAu
_cell_length_a 8.716
_cell_length_b 8.716
_cell_length_c 6.747
_cell_angle_alpha 90.00
_cell_angle_beta 90.00
_cell_angle_gamma 90.00
_symmetry_space_group_name_H-M 'I -4 2 d'
_symmetry_Int_Tables_number 122
_symmetry_space_group_name_Hall 'I -4 2bw'
loop_
_atom_site_label
_atom_site_type_symbol
_atom_site_fract_x
_atom_site_fract_y
_atom_site_fract_z
Sr1 Sr 0.220 0.250 0.125
V1 V 0.000 0.000 0.500
Au1 Au 0.000 0.000 0.000
```

Energy above the lowest structure with this stoichiometry = 0.199 eV/atom
Calculated total energy = -14.2 eV per formula unit
Formation energy from the elements = 390 meV/atom
Crystal system = tetragonal

Compound: ErSc2Ti
Source: Alexandria
Functional: PBE-GGA
Structure: optimized geometry

```
data_ErSc2Ti
_cell_length_a 7.285
_cell_length_b 7.285
_cell_length_c 7.285
_cell_angle_alpha 90.00
_cell_angle_beta 90.00
_cell_angle_gamma 90.00
_symmetry_space_group_name_H-M 'F m -3 m'
_symmetry_Int_Tables_number 225
_symmetry_space_group_name_Hall '-F 4 2 3'
loop_
_atom_site_label
_atom_site_type_symbol
_atom_site_fract_x
_atom_site_fract_y
_atom_site_fract_z
Er1 Er 0.000 0.000 0.000
Sc1 Sc 0.250 0.250 0.250
Ti1 Ti 0.000 0.000 0.500
```

Energy above the lowest structure with this stoichiometry = 0.086 eV/atom
Calculated total energy = -24.3 eV per formula unit
Formation energy from the elements = 217 meV/atom
Crystal system = cubic

Number 1: theoretical density 8.4 g cm⁻³. Number 2: theoretical density 4.4 g cm⁻³. Number 3: theoretical density 6.7 g cm⁻³. Number 4: theoretical density 4.3 g cm⁻³. Number 5: theoretical density 6.6 g cm⁻³. Number 6: theoretical density 7.5 g cm⁻³. Number 7: theoretical density 10.3 g cm⁻³. Number 8: theoretical density 3.8 g cm⁻³. Number 9: theoretical density 9.5 g cm⁻³. Number 10: theoretical density 5.5 g cm⁻³. Number 11: theoretical density 5.2 g cm⁻³.